This record from the Alexandria database describes SmDy4Co4 after structural relaxation. The functional is PBE.

Values from the calculation:
D(E_F) (states/eV/f.u.): 5.359
Electronic total energy (eV per atom): -5.777
Energy of formation (eV/atom): -0.05

Cell: 8.4469 8.4469 5.5669 Å, 90.00 90.00 90.00°
Space group P4_2/n (No. 86, origin choice 2)
Asymmetric unit:
Sm  0.2500  0.2500  0.2500
Dy  0.0632  0.6732  0.1334
Co  0.0155  0.6106  0.6164